# KInSnI4, optimized geometry, DFT PBE-GGA
# uncorrected formation energy	-0.70	eV/atom
# density	3.8	g/cm³
# density of states at the Fermi level	0.000	states/eV/atom
data_KInSnI4
_chemical_formula_sum 'K2 In2 Sn2 I8'
_symmetry_space_group_name_H-M 'P 1 21/m 1'
_symmetry_Int_Tables_number 11
_symmetry_space_group_name_Hall '-P 2yb'
_cell_length_a 7.904
_cell_length_b 9.128
_cell_length_c 9.424
_cell_angle_alpha 90.00
_cell_angle_beta 97.67
_cell_angle_gamma 90.00
loop_
_atom_site_label
_atom_site_fract_x
_atom_site_fract_y
_atom_site_fract_z
_atom_site_occupancy
K1 0.208 0.250 0.019 1
In1 0.232 0.250 0.512 1
Sn1 0.180 0.750 0.403 1
I1 0.010 0.506 0.755 1
I2 0.448 0.750 0.211 1
I3 0.484 0.750 0.679 1

=====

# K2SrInI5, optimized geometry, DFT PBE-GGA
# uncorrected formation energy	-1.30	eV/atom
# density	3.4	g/cm³
# density of states at the Fermi level	0.000	states/eV/atom
data_K2SrInI5
_chemical_formula_sum 'K8 Sr4 In4 I20'
_symmetry_space_group_name_H-M 'C m c 21'
_symmetry_Int_Tables_number 36
_symmetry_space_group_name_Hall 'C 2c -2'
_cell_length_a 4.878
_cell_length_b 20.577
_cell_length_c 17.964
_cell_angle_alpha 90.00
_cell_angle_beta 90.00
_cell_angle_gamma 90.00
loop_
_atom_site_label
_atom_site_fract_x
_atom_site_fract_y
_atom_site_fract_z
_atom_site_occupancy
K1 0.000 0.057 0.000 1
K2 0.000 0.148 0.599 1
Sr1 0.000 0.255 0.372 1
In1 0.000 0.443 0.780 1
I1 0.000 0.098 0.402 1
I2 0.000 0.237 0.003 1
I3 0.000 0.264 0.749 1
I4 0.000 0.412 0.363 1
I5 0.000 0.475 0.109 1

=====

# K3SrIn3I8, optimized geometry, DFT PBE-GGA
# uncorrected formation energy	-1.12	eV/atom
# density	3.6	g/cm³
# density of states at the Fermi level	0.000	states/eV/atom
data_K3SrIn3I8
_chemical_formula_sum 'K9 Sr3 In9 I24'
_symmetry_space_group_name_H-M 'R -3 m'
_symmetry_Int_Tables_number 166
_symmetry_space_group_name_Hall '-R 3 2"'
_cell_length_a 10.0048
_cell_length_b 10.0048
_cell_length_c 24.8222
_cell_angle_alpha 90.00
_cell_angle_beta 90.00
_cell_angle_gamma 120.00
loop_
_atom_site_label
_atom_site_fract_x
_atom_site_fract_y
_atom_site_fract_z
_atom_site_occupancy
K1 0.0000 0.5000 0.0000 1
Sr1 0.0000 0.0000 0.5000 1
In1 0.0000 0.5000 0.5000 1
I1 0.0000 0.0000 0.2495 1
I2 0.0207 0.5104 0.2434 1

=====

# KSr2InI8, optimized geometry, DFT PBE-GGA
# uncorrected formation energy	-1.20	eV/atom
# density	4.0	g/cm³
data_KSr2InI8
_chemical_formula_sum 'K1 Sr2 In1 I8'
_symmetry_space_group_name_H-M 'P 1 2/m 1'
_symmetry_Int_Tables_number 10
_symmetry_space_group_name_Hall '-P 2y'
_cell_length_a 7.343
_cell_length_b 9.924
_cell_length_c 7.723
_cell_angle_alpha 90.00
_cell_angle_beta 90.90
_cell_angle_gamma 90.00
loop_
_atom_site_label
_atom_site_fract_x
_atom_site_fract_y
_atom_site_fract_z
_atom_site_occupancy
K1 0.000 0.000 0.000 1
Sr1 0.500 0.256 0.500 1
In1 0.000 0.500 0.000 1
I1 0.234 0.288 0.144 1
I2 0.238 0.500 0.666 1
I3 0.266 0.000 0.639 1

=====

# KSr2InI6, optimized geometry, DFT PBE-GGA
# uncorrected formation energy	-1.40	eV/atom
# density	3.7	g/cm³
# density of states at the Fermi level	0.000	states/eV/atom
data_KSr2InI6
_chemical_formula_sum 'K3 Sr6 In3 I18'
_symmetry_space_group_name_H-M 'R 3'
_symmetry_Int_Tables_number 146
_symmetry_space_group_name_Hall 'R 3'
_cell_length_a 8.6822
_cell_length_b 8.6822
_cell_length_c 22.5697
_cell_angle_alpha 90.00
_cell_angle_beta 90.00
_cell_angle_gamma 120.00
loop_
_atom_site_label
_atom_site_fract_x
_atom_site_fract_y
_atom_site_fract_z
_atom_site_occupancy
K1 0.0000 0.0000 0.0000 1
Sr1 0.0000 0.0000 0.2037 1
Sr2 0.0000 0.0000 0.7052 1
In1 0.0000 0.0000 0.5046 1
I1 0.0537 0.7051 0.7795 1
I2 0.0575 0.3522 0.2779 1

=====

# KInTe2I, optimized geometry, DFT PBE-GGA
# uncorrected formation energy	-0.37	eV/atom
# density	4.3	g/cm³
# density of states at the Fermi level	1.397	states/eV/atom
data_KInTe2I
_chemical_formula_sum 'K1 In1 Te2 I1'
_symmetry_space_group_name_H-M 'P 4/m m m'
_symmetry_Int_Tables_number 123
_symmetry_space_group_name_Hall '-P 4 2'
_cell_length_a 5.736
_cell_length_b 5.736
_cell_length_c 6.313
_cell_angle_alpha 90.00
_cell_angle_beta 90.00
_cell_angle_gamma 90.00
loop_
_atom_site_label
_atom_site_fract_x
_atom_site_fract_y
_atom_site_fract_z
_atom_site_occupancy
K1 0.000 0.000 0.000 1
In1 0.500 0.500 0.500 1
Te1 0.000 0.500 0.500 1
I1 0.500 0.500 0.000 1

=====

# KInTe2I, optimized geometry, DFT PBE-GGA
# uncorrected formation energy	0.27	eV/atom
# density	3.4	g/cm³
# density of states at the Fermi level	1.198	states/eV/atom
data_KInTe2I
_chemical_formula_sum 'K1 In1 Te2 I1'
_symmetry_space_group_name_H-M 'P 4/m m m'
_symmetry_Int_Tables_number 123
_symmetry_space_group_name_Hall '-P 4 2'
_cell_length_a 6.411
_cell_length_b 6.411
_cell_length_c 6.435
_cell_angle_alpha 90.00
_cell_angle_beta 90.00
_cell_angle_gamma 90.00
loop_
_atom_site_label
_atom_site_fract_x
_atom_site_fract_y
_atom_site_fract_z
_atom_site_occupancy
K1 0.000 0.000 0.000 1
In1 0.500 0.500 0.500 1
Te1 0.000 0.500 0.000 1
I1 0.000 0.000 0.500 1

=====

# KThIn2I8, optimized geometry, DFT PBE-GGA
# uncorrected formation energy	-0.90	eV/atom
# density	4.3	g/cm³
# density of states at the Fermi level	0.492	states/eV/atom
data_KThIn2I8
_chemical_formula_sum 'K1 Th1 In2 I8'
_symmetry_space_group_name_H-M 'P -1'
_symmetry_Int_Tables_number 2
_symmetry_space_group_name_Hall '-P 1'
_cell_length_a 7.440
_cell_length_b 7.899
_cell_length_c 10.025
_cell_angle_alpha 90.01
_cell_angle_beta 90.05
_cell_angle_gamma 90.21
loop_
_atom_site_label
_atom_site_fract_x
_atom_site_fract_y
_atom_site_fract_z
_atom_site_occupancy
K1 0.000 0.000 0.000 1
Th1 0.000 0.000 0.500 1
In1 0.500 0.500 0.240 1
I1 0.237 0.321 0.500 1
I2 0.243 0.849 0.281 1
I3 0.244 0.850 0.719 1
I4 0.282 0.355 0.000 1

=====

# KTiIn2I6, optimized geometry, DFT PBE-GGA
# uncorrected formation energy	-0.75	eV/atom
# density	4.1	g/cm³
# density of states at the Fermi level	0.624	states/eV/atom
data_KTiIn2I6
_chemical_formula_sum 'K3 Ti3 In6 I18'
_symmetry_space_group_name_H-M 'R 3'
_symmetry_Int_Tables_number 146
_symmetry_space_group_name_Hall 'R 3'
_cell_length_a 8.3716
_cell_length_b 8.3716
_cell_length_c 21.7903
_cell_angle_alpha 90.00
_cell_angle_beta 90.00
_cell_angle_gamma 120.00
loop_
_atom_site_label
_atom_site_fract_x
_atom_site_fract_y
_atom_site_fract_z
_atom_site_occupancy
K1 0.0000 0.0000 0.0000 1
Ti1 0.0000 0.0000 0.4923 1
In1 0.0000 0.0000 0.2960 1
In2 0.0000 0.0000 0.8079 1
I1 0.0317 0.2948 0.5647 1
I2 0.0666 0.6783 0.0803 1

=====

# K2TiInI6, optimized geometry, DFT PBE-GGA
# uncorrected formation energy	-0.95	eV/atom
# density	3.8	g/cm³
# density of states at the Fermi level	0.650	states/eV/atom
data_K2TiInI6
_chemical_formula_sum 'K6 Ti3 In3 I18'
_symmetry_space_group_name_H-M 'R 3'
_symmetry_Int_Tables_number 146
_symmetry_space_group_name_Hall 'R 3'
_cell_length_a 8.4860
_cell_length_b 8.4860
_cell_length_c 21.2834
_cell_angle_alpha 90.00
_cell_angle_beta 90.00
_cell_angle_gamma 120.00
loop_
_atom_site_label
_atom_site_fract_x
_atom_site_fract_y
_atom_site_fract_z
_atom_site_occupancy
K1 0.0000 0.0000 0.0000 1
K2 0.0000 0.0000 0.4886 1
Ti1 0.0000 0.0000 0.7013 1
In1 0.0000 0.0000 0.2076 1
I1 0.0349 0.4213 0.4429 1
I2 0.0865 0.7117 0.2886 1

=====

# KTiInI6, optimized geometry, DFT PBE-GGA
# uncorrected formation energy	-0.78	eV/atom
# density	3.9	g/cm³
data_KTiInI6
_chemical_formula_sum 'K2 Ti2 In2 I12'
_symmetry_space_group_name_H-M 'C 1 2 1'
_symmetry_Int_Tables_number 5
_symmetry_space_group_name_Hall 'C 2y'
_cell_length_a 8.208
_cell_length_b 14.231
_cell_length_c 6.963
_cell_angle_alpha 90.00
_cell_angle_beta 90.00
_cell_angle_gamma 90.00
loop_
_atom_site_label
_atom_site_fract_x
_atom_site_fract_y
_atom_site_fract_z
_atom_site_occupancy
K1 0.000 0.000 0.000 1
Ti1 0.000 0.667 0.000 1
In1 0.000 0.333 0.500 1
I1 0.133 0.528 0.235 1
I2 0.142 0.802 0.235 1
I3 0.225 0.170 0.234 1

=====

# KTl4In3I8, optimized geometry, DFT PBE-GGA
# uncorrected formation energy	-0.69	eV/atom
# density	5.2	g/cm³
# density of states at the Fermi level	0.000	states/eV/atom
data_KTl4In3I8
_chemical_formula_sum 'K3 Tl12 In9 I24'
_symmetry_space_group_name_H-M 'R -3 m'
_symmetry_Int_Tables_number 166
_symmetry_space_group_name_Hall '-R 3 2"'
_cell_length_a 9.9942
_cell_length_b 9.9942
_cell_length_c 24.4877
_cell_angle_alpha 90.00
_cell_angle_beta 90.00
_cell_angle_gamma 120.00
loop_
_atom_site_label
_atom_site_fract_x
_atom_site_fract_y
_atom_site_fract_z
_atom_site_occupancy
K1 0.0000 0.0000 0.0000 1
Tl1 0.0000 0.0000 0.5000 1
Tl2 0.0000 0.5000 0.5000 1
In1 0.0000 0.5000 0.0000 1
I1 0.0000 0.0000 0.2511 1
I2 0.0012 0.5006 0.2508 1

=====

# KTl2InI6, optimized geometry, DFT PBE-GGA
# uncorrected formation energy	-0.73	eV/atom
# density	4.7	g/cm³
# density of states at the Fermi level	0.000	states/eV/atom
data_KTl2InI6
_chemical_formula_sum 'K3 Tl6 In3 I18'
_symmetry_space_group_name_H-M 'R 3'
_symmetry_Int_Tables_number 146
_symmetry_space_group_name_Hall 'R 3'
_cell_length_a 8.6211
_cell_length_b 8.6211
_cell_length_c 21.9275
_cell_angle_alpha 90.00
_cell_angle_beta 90.00
_cell_angle_gamma 120.00
loop_
_atom_site_label
_atom_site_fract_x
_atom_site_fract_y
_atom_site_fract_z
_atom_site_occupancy
K1 0.0000 0.0000 0.0000 1
Tl1 0.0000 0.0000 0.2893 1
Tl2 0.0000 0.0000 0.8018 1
In1 0.0000 0.0000 0.4906 1
I1 0.0313 0.4017 0.2325 1
I2 0.0654 0.6813 0.0747 1

=====

# KTlIn2I4, optimized geometry, DFT PBE-GGA
# uncorrected formation energy	-0.76	eV/atom
# density	4.6	g/cm³
# density of states at the Fermi level	0.000	states/eV/atom
data_KTlIn2I4
_chemical_formula_sum 'K1 Tl1 In2 I4'
_symmetry_space_group_name_H-M 'P 1 2/m 1'
_symmetry_Int_Tables_number 10
_symmetry_space_group_name_Hall '-P 2y'
_cell_length_a 8.668
_cell_length_b 5.002
_cell_length_c 8.673
_cell_angle_alpha 90.00
_cell_angle_beta 109.41
_cell_angle_gamma 90.00
loop_
_atom_site_label
_atom_site_fract_x
_atom_site_fract_y
_atom_site_fract_z
_atom_site_occupancy
K1 0.000 0.000 0.000 1
Tl1 0.000 0.500 0.500 1
In1 0.500 0.000 0.500 1
In2 0.500 0.500 0.000 1
I1 0.253 0.000 0.752 1
I2 0.253 0.500 0.250 1

=====

# KTlInI4, optimized geometry, DFT PBE-GGA
# uncorrected formation energy	-0.75	eV/atom
# density	4.4	g/cm³
# density of states at the Fermi level	0.179	states/eV/atom
data_KTlInI4
_chemical_formula_sum 'K4 Tl4 In4 I16'
_symmetry_space_group_name_H-M 'C m c m'
_symmetry_Int_Tables_number 63
_symmetry_space_group_name_Hall '-C 2c 2'
_cell_length_a 8.512
_cell_length_b 17.969
_cell_length_c 8.525
_cell_angle_alpha 90.00
_cell_angle_beta 90.00
_cell_angle_gamma 90.00
loop_
_atom_site_label
_atom_site_fract_x
_atom_site_fract_y
_atom_site_fract_z
_atom_site_occupancy
K1 0.000 0.116 0.250 1
Tl1 0.000 0.394 0.250 1
In1 0.000 0.247 0.750 1
I1 0.000 0.076 0.750 1
I2 0.000 0.425 0.750 1
I3 0.250 0.250 0.000 1

=====

# KTl2InI5, optimized geometry, DFT PBE-GGA
# uncorrected formation energy	-0.74	eV/atom
# density	4.9	g/cm³
# density of states at the Fermi level	0.141	states/eV/atom
data_KTl2InI5
_chemical_formula_sum 'K4 Tl8 In4 I20'
_symmetry_space_group_name_H-M 'C m c 21'
_symmetry_Int_Tables_number 36
_symmetry_space_group_name_Hall 'C 2c -2'
_cell_length_a 5.360
_cell_length_b 21.364
_cell_length_c 14.124
_cell_angle_alpha 90.00
_cell_angle_beta 90.00
_cell_angle_gamma 90.00
loop_
_atom_site_label
_atom_site_fract_x
_atom_site_fract_y
_atom_site_fract_z
_atom_site_occupancy
K1 0.000 0.204 0.000 1
Tl1 0.000 0.132 0.653 1
Tl2 0.000 0.134 0.306 1
In1 0.000 0.461 0.416 1
I1 0.000 0.032 0.997 1
I2 0.000 0.289 0.666 1
I3 0.000 0.330 0.337 1
I4 0.000 0.365 0.988 1
I5 0.000 0.479 0.734 1

=====

# K2Tl3InI6, optimized geometry, DFT PBE-GGA
# uncorrected formation energy	-0.90	eV/atom
# density	4.8	g/cm³
# density of states at the Fermi level	0.000	states/eV/atom
data_K2Tl3InI6
_chemical_formula_sum 'K4 Tl6 In2 I12'
_symmetry_space_group_name_H-M 'C 1 2/m 1'
_symmetry_Int_Tables_number 12
_symmetry_space_group_name_Hall '-C 2y'
_cell_length_a 21.916
_cell_length_b 5.020
_cell_length_c 10.052
_cell_angle_alpha 90.00
_cell_angle_beta 103.31
_cell_angle_gamma 90.00
loop_
_atom_site_label
_atom_site_fract_x
_atom_site_fract_y
_atom_site_fract_z
_atom_site_occupancy
K1 0.166 0.000 0.331 1
Tl1 0.000 0.500 0.500 1
Tl2 0.168 0.000 0.833 1
In1 0.000 0.500 0.000 1
I1 0.000 0.000 0.248 1
I2 0.166 0.500 0.082 1
I3 0.167 0.500 0.582 1

=====

# KTl2InI4, optimized geometry, DFT PBE-GGA
# uncorrected formation energy	-0.82	eV/atom
# density	5.0	g/cm³
# density of states at the Fermi level	0.000	states/eV/atom
data_KTl2InI4
_chemical_formula_sum 'K1 Tl2 In1 I4'
_symmetry_space_group_name_H-M 'P 1 2/m 1'
_symmetry_Int_Tables_number 10
_symmetry_space_group_name_Hall '-P 2y'
_cell_length_a 8.682
_cell_length_b 5.015
_cell_length_c 8.685
_cell_angle_alpha 90.00
_cell_angle_beta 109.46
_cell_angle_gamma 90.00
loop_
_atom_site_label
_atom_site_fract_x
_atom_site_fract_y
_atom_site_fract_z
_atom_site_occupancy
K1 0.000 0.000 0.000 1
Tl1 0.500 0.000 0.500 1
Tl2 0.500 0.500 0.000 1
In1 0.000 0.500 0.500 1
I1 0.247 0.000 0.748 1
I2 0.249 0.500 0.251 1

=====

# K3Tl4InI8, optimized geometry, DFT PBE-GGA
# uncorrected formation energy	-0.94	eV/atom
# density	4.8	g/cm³
# density of states at the Fermi level	0.000	states/eV/atom
data_K3Tl4InI8
_chemical_formula_sum 'K6 Tl8 In2 I16'
_symmetry_space_group_name_H-M 'C 1 2/m 1'
_symmetry_Int_Tables_number 12
_symmetry_space_group_name_Hall '-C 2y'
_cell_length_a 17.417
_cell_length_b 10.061
_cell_length_c 10.065
_cell_angle_alpha 90.00
_cell_angle_beta 125.27
_cell_angle_gamma 90.00
loop_
_atom_site_label
_atom_site_fract_x
_atom_site_fract_y
_atom_site_fract_z
_atom_site_occupancy
K1 0.000 0.000 0.000 1
K2 0.250 0.250 0.000 1
Tl1 0.000 0.000 0.500 1
Tl2 0.000 0.500 0.500 1
Tl3 0.250 0.250 0.500 1
In1 0.000 0.500 0.000 1
I1 0.000 0.251 0.249 1
I2 0.249 0.500 0.249 1
I3 0.250 0.000 0.250 1

=====

# KTl3In4I8, optimized geometry, DFT PBE-GGA
# uncorrected formation energy	-0.66	eV/atom
# density	5.0	g/cm³
# density of states at the Fermi level	0.000	states/eV/atom
data_KTl3In4I8
_chemical_formula_sum 'K3 Tl9 In12 I24'
_symmetry_space_group_name_H-M 'R -3 m'
_symmetry_Int_Tables_number 166
_symmetry_space_group_name_Hall '-R 3 2"'
_cell_length_a 9.9958
_cell_length_b 9.9958
_cell_length_c 24.4410
_cell_angle_alpha 90.00
_cell_angle_beta 90.00
_cell_angle_gamma 120.00
loop_
_atom_site_label
_atom_site_fract_x
_atom_site_fract_y
_atom_site_fract_z
_atom_site_occupancy
K1 0.0000 0.0000 0.0000 1
Tl1 0.0000 0.5000 0.0000 1
In1 0.0000 0.0000 0.5000 1
In2 0.0000 0.5000 0.5000 1
I1 0.0000 0.0000 0.2489 1
I2 0.0007 0.5003 0.7509 1